The following is a SCAN calculation of a crystal of TlP2Pd2 relaxed with PBEsol, from Alexandria via LeMat-Bulk.

POSCAR file:
```
TlP2Pd2
1.0
-2.158 2.158 4.574
2.158 -2.158 4.574
2.158 2.158 -4.574
Tl P Pd
1 2 2
Cartesian
0.000 0.000 0.000 Tl
0.000 0.000 3.471 P
0.000 0.000 5.677 P
2.158 0.000 2.287 Pd
0.000 2.158 2.287 Pd
```

Values from the calculation:
Its calculated total energy is -31.94 eV per atom. The value obtained for the spin magnetization is 0.00 μB/f.u. The space-group type is I4/mmm. The calculated formation energy comes out at -0.195 eV per atom.